1.
Pm2Dy3TmTe6: optimized geometry, PBE-GGA.

Lattice parameters (Å, degrees): 4.3479 8.8182 9.8033 102.34 102.81 90.00
Last column: nearest neighbours and their distance in Å.
Sites, in units of the cell vectors:
Pm: 0.8283 0.6627 0.6567  6 Te 3.11-3.26
Pm: 0.1717 0.3373 0.3433  6 Te 3.11-3.26
Dy: 0.5000 0.5000 0.0000  6 Te 3.02-3.12
Dy: 0.8257 0.1648 0.6515  6 Te 3.05-3.19
Dy: 0.1743 0.8352 0.3485  6 Te 3.05-3.19
Tm: 0.5000 0.0000 0.0000  6 Te 3.02-3.07
Te: 0.3384 0.9257 0.6767  1 Tm 3.02, 3 Dy 3.06-3.07, 2 Pm 3.15
Te: 0.6619 0.5877 0.3237  3 Dy 3.02-3.05, 3 Pm 3.11-3.13
Te: 0.6616 0.0743 0.3233  1 Tm 3.02, 3 Dy 3.06-3.07, 2 Pm 3.15
Te: 0.9968 0.2446 0.9936  2 Tm 3.07, 3 Dy 3.12-3.19, 1 Pm 3.26
Te: 0.0032 0.7554 0.0064  2 Tm 3.07, 3 Dy 3.12-3.19, 1 Pm 3.26
Te: 0.3381 0.4123 0.6763  3 Dy 3.02-3.05, 3 Pm 3.11-3.13

formation energy without anion corrections	-1.31	eV per atom
space-group type	No. 12

---

2.
Y3Te2H2: optimized geometry, PBE-GGA.

Lattice parameters (Å, degrees): 4.0450 4.4874 8.8530 104.69 103.23 89.99
Last column: nearest neighbours and their distance in Å.
Sites, in units of the cell vectors:
Y: 0.0000 0.0000 0.0000  4 H 2.31
Y: 0.6208 0.6202 0.2402  2 H 2.29
Y: 0.3792 0.3798 0.7598  2 H 2.29
Te: 0.8202 0.8210 0.6421  5 Y 2.98-3.18
Te: 0.1798 0.1790 0.3579  5 Y 2.98-3.18
H: 0.4999 0.2506 0.9999  2 H 2.24-2.25, 4 Y 2.29-2.31
H: 0.5001 0.7494 0.0001  2 H 2.24-2.25, 4 Y 2.29-2.31

electronic total energy	-5.6141	eV/atom
space-group type	No. 12

---

3.
TcMo2As: optimized geometry, PBE-GGA.

Lattice parameters (Å, degrees): 8.6868 8.6868 8.6868 19.28 19.28 19.28
Last column: nearest neighbours and their distance in Å.
Sites, in units of the cell vectors:
As: 0.7510 0.7510 0.7510  3 Tc 2.67, 3 Mo 2.69, 6 As 2.91
Mo: 0.0022 0.0022 0.0022  3 As 2.69, 9 Mo 2.80-2.91
Mo: 0.2478 0.2478 0.2478  3 Tc 2.69, 9 Mo 2.80-2.91
Tc: 0.4991 0.4991 0.4991  3 As 2.67, 3 Mo 2.69, 6 Tc 2.91

energy of formation from the pure elements	0.21	eV per atom
space-group type	No. 160

---

4.
Sm6IrRu2: optimized geometry, PBE-GGA.

Lattice parameters (Å, degrees): 6.7502 7.4660 9.8320 90.00 88.99 90.00
Last column: nearest neighbours and their distance in Å.
Sites, in units of the cell vectors:
Sm: 0.8365 0.9463 0.2425  2 Ru 2.81-2.82, 1 Ir 2.81
Sm: 0.8261 0.6720 0.5692  1 Ir 2.79, 1 Ru 2.84
Sm: 0.8437 0.6706 0.9237  1 Ir 2.74, 2 Ru 2.98-3.05
Sm: 0.6563 0.1706 0.5763  1 Ir 2.74, 2 Ru 2.98-3.05
Sm: 0.6739 0.1720 0.9308  1 Ir 2.79, 1 Ru 2.84
Sm: 0.6635 0.4463 0.2575  2 Ru 2.81-2.82, 1 Ir 2.81
Sm: 0.1635 0.0537 0.7575  2 Ru 2.81-2.82, 1 Ir 2.81
Sm: 0.1739 0.3280 0.4308  1 Ir 2.79, 1 Ru 2.84
Sm: 0.1563 0.3293 0.0763  1 Ir 2.74, 2 Ru 2.98-3.05
Sm: 0.3437 0.8294 0.4237  1 Ir 2.74, 2 Ru 2.98-3.05
Sm: 0.3261 0.8280 0.0692  1 Ir 2.79, 1 Ru 2.84
Sm: 0.3365 0.5537 0.7425  2 Ru 2.81-2.82, 1 Ir 2.81
Ir: 0.5000 0.5000 0.0000  6 Sm 2.74-2.81
Ir: 0.0000 0.0000 0.5000  6 Sm 2.74-2.81
Ru: 0.9661 0.3839 0.7294  5 Sm 2.81-3.05
Ru: 0.5339 0.8839 0.7706  5 Sm 2.81-3.05
Ru: 0.4661 0.1161 0.2294  5 Sm 2.81-3.05
Ru: 0.0339 0.6161 0.2706  5 Sm 2.81-3.05

energy of formation from the pure elements	-0.31	eV per atom
space-group type	No. 14

---

5.
TaAs2OsSe: optimized geometry, PBE-GGA.

Lattice parameters (Å, degrees): 4.9953 4.9953 4.8640 90.00 90.00 90.00
Last column: nearest neighbours and their distance in Å.
Sites, in units of the cell vectors:
As: 0.0000 0.5000 0.0000  2 Ta 2.50
As: 0.5000 0.0000 0.0000  2 Ta 2.50
Os: 0.5000 0.5000 0.5000  8 As 3.49, 4 Se 3.53
Se: 0.0000 0.0000 0.5000  2 Ta 2.43
Ta: 0.0000 0.0000 0.0000  2 Se 2.43, 4 As 2.50

formation energy without anion corrections	1.29	eV per atom
space-group type	No. 123

---

6.
NiAuN2: optimized geometry, PBE-GGA.

Lattice parameters (Å, degrees): 6.0075 6.0075 6.0075 30.98 30.98 30.98
Last column: nearest neighbours and their distance in Å.
Sites, in units of the cell vectors:
Ni: 0.0000 0.0000 0.0000  2 N 1.79
Au: 0.5000 0.5000 0.5000  6 N 2.14
N: 0.8958 0.8958 0.8958  1 Ni 1.79
N: 0.1042 0.1042 0.1042  1 Ni 1.79

formation energy without anion corrections	1.19	eV per atom
space-group type	No. 166

---

7.
TiSe2Br5: optimized geometry, PBE-GGA.

Lattice parameters (Å, degrees): 7.0239 6.7318 10.7110 65.34 61.98 59.52
Last column: nearest neighbours and their distance in Å.
Sites, in units of the cell vectors:
Ti: 0.7887 0.0394 0.0617  4 Br 2.33-2.34
Se: 0.7904 0.3978 0.5114  1 Se 2.22, 1 Br 2.44
Se: 0.4246 0.4209 0.6218  1 Se 2.22
Br: 0.7322 0.0413 0.2947  1 Ti 2.34
Br: 0.1287 0.7170 0.9878  1 Ti 2.33
Br: 0.8242 0.3922 0.8990  1 Ti 2.34
Br: 0.0642 0.9872 0.5558  1 Se 2.44
Br: 0.4701 0.0042 0.0680  1 Ti 2.33

formation energy without anion corrections	-0.69	eV per atom
space-group type	No. 1

---

8.
K2LiY: optimized geometry, PBE-GGA.

Lattice parameters (Å, degrees): 7.7341 6.9576 3.5969 85.06 78.82 115.45
Last column: nearest neighbours and their distance in Å.
Sites, in units of the cell vectors:
K: 0.0000 0.0000 0.0000  4 K 3.60-3.78, 2 Y 3.94, 2 Li 3.94
K: 0.0000 0.5000 0.5000  4 K 3.60-3.78, 2 Li 3.94, 2 Y 3.94
Li: 0.5000 0.5000 0.0000  2 Li 3.60, 2 Y 3.78, 4 K 3.94
Y: 0.5000 0.0000 0.5000  2 Y 3.60, 2 Li 3.78, 4 K 3.94

energy of formation from the pure elements	0.45	eV per atom
space-group type	No. 12

---

9.
Re2PN: optimized geometry, PBE-GGA.

Lattice parameters (Å, degrees): 4.0489 4.0489 4.0489 60.00 60.00 60.00
Last column: nearest neighbours and their distance in Å.
Sites, in units of the cell vectors:
Re: 0.2500 0.2500 0.2500  4 N 2.48, 4 P 2.48
Re: 0.7500 0.7500 0.7500  4 P 2.48, 4 N 2.48
N: 0.0000 0.0000 0.0000  8 Re 2.48
P: 0.5000 0.5000 0.5000  8 Re 2.48

formation energy without anion corrections	0.61	eV per atom
space-group type	No. 225

---

10.
YGePd: optimized geometry, PBE-GGA.

Lattice parameters (Å, degrees): 3.4903 4.4507 4.4507 120.00 90.00 90.00
Last column: nearest neighbours and their distance in Å.
Sites, in units of the cell vectors:
Y: 0.6666 0.6667 0.3333  6 Pd 3.11, 6 Ge 3.11
Ge: 0.1666 0.3333 0.6667  3 Pd 2.57
Pd: 0.1669 0.0000 0.0000  3 Ge 2.57

energy of formation from the pure elements	-0.97	eV per atom
space-group type	No. 187

---

11.
MgTc2Ni: optimized geometry, PBE-GGA.

Lattice parameters (Å, degrees): 4.3459 3.6194 3.6194 90.00 90.00 90.00
Last column: nearest neighbours and their distance in Å.
Sites, in units of the cell vectors:
Mg: 0.5000 0.5000 0.0000  4 Ni 2.56, 8 Tc 2.83
Ni: 0.5000 0.0000 0.5000  4 Mg 2.56, 8 Tc 2.83
Tc: 0.0000 0.0000 0.0000  4 Tc 2.56, 4 Mg 2.83, 4 Ni 2.83
Tc: 0.0000 0.5000 0.5000  4 Tc 2.56, 4 Ni 2.83, 4 Mg 2.83

energy of formation from the pure elements	0.15	eV per atom
space-group type	No. 123

---

12.
SrCo3: optimized geometry, PBE-GGA.

Lattice parameters (Å, degrees): 6.8033 6.8033 3.9619 90.00 90.00 120.00
Last column: nearest neighbours and their distance in Å.
Sites, in units of the cell vectors:
Sr: 0.6667 0.3333 0.7500  12 Co 3.24-3.45
Sr: 0.3333 0.6667 0.2500  12 Co 3.24-3.45
Co: 0.1156 0.8844 0.7500  6 Co 2.36-2.40
Co: 0.8844 0.1156 0.2500  6 Co 2.36-2.40
Co: 0.7687 0.8844 0.7500  6 Co 2.36-2.40
Co: 0.2313 0.1156 0.2500  6 Co 2.36-2.40
Co: 0.8844 0.7687 0.2500  6 Co 2.36-2.40
Co: 0.1156 0.2313 0.7500  6 Co 2.36-2.40

energy of formation from the pure elements	0.36	eV per atom
space-group type	No. 194

---

13.
Hf2CrPb2: optimized geometry, PBE-GGA.

Lattice parameters (Å, degrees): 7.1678 7.1678 4.2049 90.00 90.00 90.00
Last column: nearest neighbours and their distance in Å.
Sites, in units of the cell vectors:
Pb: 0.3520 0.8520 0.0000  2 Cr 2.74, 6 Hf 2.85-3.06, 1 Pb 3.00
Pb: 0.8520 0.6480 0.0000  2 Cr 2.74, 6 Hf 2.85-3.06, 1 Pb 3.00
Pb: 0.6480 0.1480 0.0000  2 Cr 2.74, 6 Hf 2.85-3.06, 1 Pb 3.00
Pb: 0.1480 0.3520 0.0000  2 Cr 2.74, 6 Hf 2.85-3.06, 1 Pb 3.00
Cr: 0.0000 0.0000 0.0000  4 Pb 2.74
Cr: 0.5000 0.5000 0.0000  4 Pb 2.74
Hf: 0.1616 0.6616 0.5000  6 Pb 2.85-3.06
Hf: 0.6616 0.8384 0.5000  6 Pb 2.85-3.06
Hf: 0.8384 0.3384 0.5000  6 Pb 2.85-3.06
Hf: 0.3384 0.1616 0.5000  6 Pb 2.85-3.06

energy of formation from the pure elements	0.44	eV per atom
space-group type	No. 127

---

14.
HfAlSb2Te: optimized geometry, PBE-GGA.

Lattice parameters (Å, degrees): 5.1689 5.1689 5.2647 90.00 90.00 90.00
Last column: nearest neighbours and their distance in Å.
Sites, in units of the cell vectors:
Sb: 0.0000 0.5000 0.0000  2 Al 2.58
Sb: 0.5000 0.0000 0.0000  2 Al 2.58
Te: 0.0000 0.0000 0.5000  2 Al 2.63
Hf: 0.5000 0.5000 0.5000  4 Te 3.65, 8 Sb 3.69
Al: 0.0000 0.0000 0.0000  4 Sb 2.58, 2 Te 2.63

formation energy without anion corrections	0.66	eV per atom
space-group type	No. 123

---

15.
CdTcBr2: optimized geometry, PBE-GGA.

Lattice parameters (Å, degrees): 5.2322 5.2322 3.5629 90.00 90.00 99.06
Last column: nearest neighbours and their distance in Å.
Sites, in units of the cell vectors:
Tc: 0.0000 0.5000 0.5000  8 Br 3.17, 2 Cd 3.40
Br: 0.0000 0.0000 0.0000  4 Tc 3.17, 4 Cd 3.17, 2 Br 3.40
Br: 0.5000 0.5000 0.0000  4 Cd 3.17, 4 Tc 3.17, 2 Br 3.40
Cd: 0.5000 0.0000 0.5000  8 Br 3.17, 2 Tc 3.40

formation energy without anion corrections	0.64	eV per atom
space-group type	No. 65

---

16.
Dy2Ga3Au9: optimized geometry, PBE-GGA.

Lattice parameters (Å, degrees): 8.0230 8.0230 10.7358 89.97 112.13 119.79
Last column: nearest neighbours and their distance in Å.
Sites, in units of the cell vectors:
Dy: 0.3366 0.2490 0.7535  11 Au 3.05-3.25
Dy: 0.6634 0.7510 0.2465  11 Au 3.05-3.25
Dy: 0.9955 0.5831 0.7465  11 Au 3.05-3.25
Dy: 0.0045 0.4169 0.2535  11 Au 3.05-3.25
Ga: 0.5000 0.0000 0.0000  8 Au 2.64-2.78
Ga: 0.5000 0.5000 0.5000  8 Au 2.64-2.78
Ga: 0.8609 0.1856 0.5052  6 Au 2.58-2.80
Ga: 0.1391 0.8144 0.4948  6 Au 2.58-2.80
Ga: 0.1803 0.3556 0.9948  6 Au 2.58-2.80
Ga: 0.8197 0.6444 0.0052  6 Au 2.58-2.80
Au: 0.4372 0.9244 0.7419  2 Ga 2.58-2.64, 1 Au 2.87
Au: 0.5628 0.0756 0.2581  2 Ga 2.58-2.64, 1 Au 2.87
Au: 0.6826 0.6953 0.7581  2 Ga 2.58-2.64, 1 Au 2.87
Au: 0.3174 0.3047 0.2419  2 Ga 2.58-2.64, 1 Au 2.87
Au: 0.4406 0.6391 0.9150  3 Ga 2.62-2.80, 1 Au 2.90
Au: 0.5594 0.3609 0.0850  3 Ga 2.62-2.80, 1 Au 2.90
Au: 0.2240 0.5256 0.5850  3 Ga 2.62-2.80, 1 Au 2.90
Au: 0.7760 0.4744 0.4150  3 Ga 2.62-2.80, 1 Au 2.90
Au: 0.8904 0.1404 0.7500  2 Ga 2.59
Au: 0.1096 0.8596 0.2500  2 Ga 2.59
Au: 0.1296 0.9786 0.9193  2 Ga 2.68-2.92, 2 Au 2.87-2.92
Au: 0.8704 0.0214 0.0807  2 Ga 2.68-2.92, 2 Au 2.87-2.92
Au: 0.5593 0.2103 0.5807  2 Ga 2.68-2.92, 2 Au 2.87-2.92
Au: 0.4407 0.7897 0.4193  2 Ga 2.68-2.92, 2 Au 2.87-2.92
Au: 0.8810 0.8587 0.5713  3 Ga 2.66-2.78, 2 Au 2.92-2.93
Au: 0.1190 0.1413 0.4287  3 Ga 2.66-2.78, 2 Au 2.92-2.93
Au: 0.7874 0.3098 0.9287  3 Ga 2.66-2.78, 2 Au 2.92-2.93
Au: 0.2126 0.6902 0.0713  3 Ga 2.66-2.78, 2 Au 2.92-2.93

energy of formation from the pure elements	-0.49	eV per atom
space-group type	No. 15